Entry from Alexandria: Pr6Sm3Mg after structural relaxation (PBE-GGA).

## Properties
The value obtained for the calculated volume is 696 Å³/cell. The offset from the most stable computed form comes out at 0 meV/atom.

a = 10.108 Å, b = 10.108 Å, c = 9.592 Å
α = 90.00°, β = 90.00°, γ = 134.73°
Atoms (fractional coordinates):
Pr: 0.046 0.954 0.500
Pr: 0.066 0.461 0.973
Pr: 0.170 0.305 0.694
Pr: 0.290 0.710 0.665
Pr: 0.305 0.170 0.194
Pr: 0.461 0.066 0.473
Pr: 0.539 0.934 0.973
Pr: 0.695 0.830 0.694
Pr: 0.710 0.290 0.165
Pr: 0.830 0.695 0.194
Pr: 0.934 0.539 0.473
Pr: 0.954 0.046 0.000
Sm: 0.132 0.376 0.325
Sm: 0.376 0.132 0.825
Sm: 0.461 0.539 0.995
Sm: 0.539 0.461 0.495
Sm: 0.624 0.868 0.325
Sm: 0.868 0.624 0.825
Mg: 0.223 0.777 0.213
Mg: 0.777 0.223 0.713



Entry from Alexandria: CeGdPuGa after structural relaxation (PBE-GGA).

## Properties
The calculation puts the total energy at -9.476 eV per atom. The value obtained for the calculated volume is 102 Å³/cell.

a = 5.240 Å, b = 5.240 Å, c = 5.240 Å
α = 60.00°, β = 60.00°, γ = 60.00°
Atoms (fractional coordinates):
Ce: 0.000 0.000 0.000
Gd: 0.500 0.500 0.500
Pu: 0.750 0.750 0.750
Ga: 0.250 0.250 0.250



Entry from Alexandria: BeTc2As after structural relaxation (PBE-GGA).

## Properties
The value obtained for the calculated volume is 52 Å³/cell. The offset from the most stable computed form comes out at 147 meV/atom.

a = 4.179 Å, b = 4.179 Å, c = 4.179 Å
α = 60.00°, β = 60.00°, γ = 60.00°
Atoms (fractional coordinates):
Be: 0.000 0.000 0.000
Tc: 0.250 0.250 0.250
Tc: 0.750 0.750 0.750
As: 0.500 0.500 0.500



Entry from Alexandria: Hf2Zn3Pt after structural relaxation (PBE-GGA).

## Properties
The calculation puts the total energy at -5.245 eV per atom. The value obtained for the calculated volume is 108 Å³/cell.

a = 8.544 Å, b = 8.544 Å, c = 8.544 Å
α = 158.26°, β = 152.16°, γ = 35.60°
Atoms (fractional coordinates):
Hf: 0.000 0.000 0.000
Hf: 0.747 0.247 0.500
Zn: 0.164 0.664 0.500
Zn: 0.316 0.816 0.500
Zn: 0.590 0.590 0.000
Pt: 0.434 0.434 0.000



Entry from Alexandria: NaAg8Se6 after structural relaxation (PBE-GGA).

## Properties
The value obtained for the calculated volume is 350 Å³/cell. As for the raw formation energy: -0.082 eV per atom.

a = 8.454 Å, b = 8.454 Å, c = 8.454 Å
α = 52.32°, β = 52.32°, γ = 52.32°
Atoms (fractional coordinates):
Na: 0.000 0.000 0.000
Ag: 0.121 0.637 0.828
Ag: 0.172 0.879 0.363
Ag: 0.363 0.172 0.879
Ag: 0.413 0.413 0.413
Ag: 0.587 0.587 0.587
Ag: 0.637 0.828 0.121
Ag: 0.828 0.121 0.637
Ag: 0.879 0.363 0.172
Se: 0.042 0.436 0.743
Se: 0.257 0.958 0.564
Se: 0.436 0.743 0.042
Se: 0.564 0.257 0.958
Se: 0.743 0.042 0.436
Se: 0.958 0.564 0.257



Entry from Alexandria: PmFeTc after structural relaxation (PBE-GGA).

## Properties
The value obtained for the calculated volume is 120 Å³/cell. The offset from the most stable computed form comes out at 109 meV/atom.

a = 4.280 Å, b = 4.093 Å, c = 6.853 Å
α = 90.00°, β = 93.02°, γ = 90.00°
Atoms (fractional coordinates):
Pm: 0.247 0.250 0.341
Pm: 0.753 0.750 0.659
Fe: 0.178 0.750 0.001
Fe: 0.822 0.250 0.999
Tc: 0.335 0.250 0.851
Tc: 0.665 0.750 0.149



Entry from Alexandria: KTl4Re after structural relaxation (PBE-GGA).

## Properties
The calculation puts the total energy at -2.906 eV per atom. The value obtained for the calculated volume is 179 Å³/cell.

a = 6.330 Å, b = 6.330 Å, c = 6.330 Å
α = 60.00°, β = 60.00°, γ = 60.00°
Atoms (fractional coordinates):
K: 0.000 0.000 0.000
Tl: 0.376 0.376 0.376
Tl: 0.376 0.376 0.872
Tl: 0.376 0.872 0.376
Tl: 0.872 0.376 0.376
Re: 0.750 0.750 0.750



Entry from Alexandria: Ti2CdPd7 after structural relaxation (PBE-GGA).

## Properties
The calculation puts the total energy at -5.273 eV per atom. The value obtained for the calculated volume is 198 Å³/cell.

a = 7.407 Å, b = 7.407 Å, c = 4.273 Å
α = 90.00°, β = 90.00°, γ = 122.36°
Atoms (fractional coordinates):
Ti: 0.195 0.805 0.000
Ti: 0.805 0.195 0.000
Cd: 0.500 0.500 0.500
Pd: 0.000 0.000 0.000
Pd: 0.196 0.426 0.000
Pd: 0.288 0.712 0.500
Pd: 0.426 0.196 0.000
Pd: 0.574 0.804 0.000
Pd: 0.712 0.288 0.500
Pd: 0.804 0.574 0.000